Record 1
La2AlGa3Rh4: optimized geometry, GGA-PBE.

Cell lengths 4.339, 4.339, 10.176 Å; angles 90.00, 90.00, 90.00 degrees
Space group P-4m2 (No. 115)
Inequivalent atoms, fractional coordinates:
La1 0.000 0.500 0.238 [2 per cell]
Al1 0.000 0.000 0.500 [1 per cell]
Ga1 0.000 0.500 0.876 [2 per cell]
Ga2 0.500 0.500 0.500 [1 per cell]
Rh1 0.000 0.000 0.000 [1 per cell]
Rh2 0.000 0.500 0.627 [2 per cell]
Rh3 0.500 0.500 0.000 [1 per cell]

DFT formation energy, eV/atom: -0.8476

***

Record 2
LaAl2GaRu2: optimized geometry, GGA-PBE.

Cell lengths 4.573, 4.573, 5.809 Å; angles 90.00, 90.00, 90.00 degrees
Space group P4/mmm (No. 123)
Inequivalent atoms, fractional coordinates:
La1 0.000 0.000 0.000 [1 per cell]
Al1 0.500 0.500 0.257 [2 per cell]
Ga1 0.000 0.000 0.500 [1 per cell]
Ru1 0.000 0.500 0.500 [2 per cell]

DFT formation energy, eV/atom: -0.2976

***

Record 3
LaAlGa2S6: optimized geometry, GGA-PBE.

Cell lengths 13.103, 11.042, 7.319 Å; angles 90.00, 115.02, 90.00 degrees
Space group C2/c (No. 15)
Inequivalent atoms, fractional coordinates:
La1 0.000 0.170 0.250 [4 per cell]
Al1 0.000 0.185 0.750 [4 per cell]
Ga1 0.191 0.441 0.181 [8 per cell]
S1 0.110 0.060 0.658 [8 per cell]
S2 0.129 0.253 0.043 [8 per cell]
S3 0.145 0.407 0.450 [8 per cell]

E_form (uncorrected), eV/atom: -1.08

***

Record 4
La2ScAlGa: optimized geometry, GGA-PBE.

Cell lengths 5.700, 5.700, 5.115 Å; angles 90.00, 90.00, 90.00 degrees
Space group P4/mmm (No. 123)
Inequivalent atoms, fractional coordinates:
La1 0.000 0.500 0.000 [2 per cell]
Sc1 0.000 0.000 0.500 [1 per cell]
Al1 0.500 0.500 0.500 [1 per cell]
Ga1 0.000 0.000 0.000 [1 per cell]

DFT formation energy, eV/atom: 0.1066

***

Record 5
LaScAl2Ga2: optimized geometry, GGA-PBE.

Cell lengths 4.4915, 4.4915, 7.1382 Å; angles 90.00, 90.00, 120.00 degrees
Space group P-3m1 (No. 164)
Inequivalent atoms, fractional coordinates:
La1 0.0000 0.0000 0.0000 [1 per cell]
Sc1 0.0000 0.0000 0.5000 [1 per cell]
Al1 0.3333 0.6667 0.7119 [2 per cell]
Ga1 0.3333 0.6667 0.2876 [2 per cell]

DFT formation energy, eV/atom: -0.5610

***

Record 6
La2Sm2AlGa4: optimized geometry, GGA-PBE.

Cell lengths 7.160, 7.160, 9.066 Å; angles 90.00, 90.00, 90.00 degrees
Space group I4/mmm (No. 139)
Inequivalent atoms, fractional coordinates:
La1 0.000 0.500 0.250 [4 per cell]
Sm1 0.000 0.000 0.184 [4 per cell]
Al1 0.000 0.000 0.500 [2 per cell]
Ga1 0.246 0.246 0.500 [8 per cell]

DFT formation energy, eV/atom: -0.3312

***

Record 7
LaSmAl2Ga2: optimized geometry, GGA-PBE.

Cell lengths 4.3435, 4.3435, 8.6651 Å; angles 90.00, 90.00, 120.00 degrees
Space group P-3m1 (No. 164)
Inequivalent atoms, fractional coordinates:
La1 0.0000 0.0000 0.0000 [1 per cell]
Sm1 0.0000 0.0000 0.5000 [1 per cell]
Al1 0.3333 0.6667 0.7422 [2 per cell]
Ga1 0.3333 0.6667 0.2593 [2 per cell]

DFT formation energy, eV/atom: -0.5960

***

Record 8
LaSmAlGa: optimized geometry, GGA-PBE.

Cell lengths 7.461, 7.461, 7.461 Å; angles 90.00, 90.00, 90.00 degrees
Space group F-43m (No. 216)
Inequivalent atoms, fractional coordinates:
La1 0.000 0.000 0.000 [4 per cell]
Sm1 0.000 0.000 0.500 [4 per cell]
Al1 0.250 0.250 0.250 [4 per cell]
Ga1 0.250 0.250 0.750 [4 per cell]

DFT formation energy, eV/atom: -0.4573
Energy relative to the lowest polymorph listed for this composition, kJ/mol of formula units: 7.5

***

Record 9
LaSmAlGa: optimized geometry, GGA-PBE.

Cell lengths 4.239, 4.502, 11.499 Å; angles 90.00, 90.00, 90.00 degrees
Space group Amm2 (No. 38)
Inequivalent atoms, fractional coordinates:
La1 0.000 0.000 0.000 [2 per cell]
Sm1 0.500 0.000 0.716 [2 per cell]
Al1 0.500 0.000 0.418 [2 per cell]
Ga1 0.000 0.000 0.283 [2 per cell]

DFT formation energy, eV/atom: -0.4767
Energy relative to the lowest polymorph listed for this composition, kJ/mol of formula units: 0.0

***

Record 10
LaTbAlGa: optimized geometry, GGA-PBE.

Cell lengths 7.400, 7.400, 7.400 Å; angles 90.00, 90.00, 90.00 degrees
Space group F-43m (No. 216)
Inequivalent atoms, fractional coordinates:
La1 0.000 0.000 0.000 [4 per cell]
Tb1 0.000 0.000 0.500 [4 per cell]
Al1 0.250 0.250 0.250 [4 per cell]
Ga1 0.250 0.250 0.750 [4 per cell]

DFT formation energy, eV/atom: -0.4668
Energy relative to the lowest polymorph listed for this composition, kJ/mol of formula units: 0.0

***

Record 11
LaTbAl2Ga2: optimized geometry, GGA-PBE.

Cell lengths 4.3279, 4.3279, 8.5588 Å; angles 90.00, 90.00, 120.00 degrees
Space group P-3m1 (No. 164)
Inequivalent atoms, fractional coordinates:
La1 0.0000 0.0000 0.0000 [1 per cell]
Tb1 0.0000 0.0000 0.5000 [1 per cell]
Al1 0.3333 0.6667 0.7392 [2 per cell]
Ga1 0.3333 0.6667 0.2650 [2 per cell]

DFT formation energy, eV/atom: -0.5847

***

Record 12
LaTbAlGa: optimized geometry, GGA-PBE.

Cell lengths 3.418, 5.523, 11.529 Å; angles 90.00, 90.00, 90.00 degrees
Space group Amm2 (No. 38)
Inequivalent atoms, fractional coordinates:
La1 0.000 0.000 0.000 [2 per cell]
Tb1 0.500 0.000 0.489 [2 per cell]
Al1 0.000 0.000 0.716 [2 per cell]
Ga1 0.500 0.000 0.230 [2 per cell]

DFT formation energy, eV/atom: 0.1856
Energy relative to the lowest polymorph listed for this composition, kJ/mol of formula units: 251.8